1.
This record from OQMD via LeMat-Bulk describes a geometry-optimized SmHoS2I2 structure. The functional is GGA-PBE.

Unit cell a=4.2321 b=5.4163 c=9.6043 alpha=90.00 beta=90.00 gamma=90.00
Element x y z (fractional)
1 Ho 0.0000 0.0000 0.8814
2 I 0.0000 0.5000 0.3570
3 I 0.5000 0.0000 0.6527
4 S 0.5000 0.0000 0.0619
5 S 0.0000 0.5000 0.9277
6 Sm 0.5000 0.5000 0.1194

Properties
**Total magnetic moment**: 0.0 Bohr magnetons per cell
**Uncorrected energy**: -31.44 eV/f.u.

---

2.
This record from OQMD via LeMat-Bulk describes a geometry-optimized TbHoS2I2 structure. The functional is GGA-PBE.

Unit cell a=4.1851 b=5.3588 c=9.5436 alpha=90.00 beta=90.00 gamma=90.00
Element x y z (fractional)
1 Ho 0.0000 0.0000 0.1186
2 I 0.5000 0.0000 0.3496
3 I 0.0000 0.5000 0.6470
4 S 0.0000 0.5000 0.0683
5 S 0.5000 0.0000 0.9352
6 Tb 0.5000 0.5000 0.8813

Properties
**Total magnetic moment**: 0.0 Bohr magnetons per cell
**Uncorrected energy**: -31.41 eV/f.u.

---

3.
This record from OQMD via LeMat-Bulk describes a geometry-optimized YHoS2I2 structure. The functional is GGA-PBE.

Unit cell a=4.1724 b=5.3502 c=9.5386 alpha=90.00 beta=90.00 gamma=90.00
Element x y z (fractional)
1 Ho 0.5000 0.0000 0.1189
2 I 0.0000 0.0000 0.3505
3 I 0.5000 0.5000 0.6474
4 S 0.5000 0.5000 0.0687
5 S 0.0000 0.0000 0.9337
6 Y 0.0000 0.5000 0.8807

Properties
**Total magnetic moment**: 0.0 Bohr magnetons per cell
**Uncorrected energy**: -33.26 eV/f.u.

---

4.
This record from OQMD via LeMat-Bulk describes a geometry-optimized HoSbI6 structure. The functional is GGA-PBE.

Unit cell a=7.6356 b=7.6356 c=7.6344 alpha=99.34 beta=99.34 gamma=120.04
Element x y z (fractional)
1 Ho 0.8337 0.1663 0.0000
2 I 0.9274 0.5758 0.2415
3 I 0.5798 0.9292 0.2418
4 I 0.2250 0.2274 0.2471
5 I 0.7726 0.7750 0.7529
6 I 0.0708 0.4202 0.7582
7 I 0.4242 0.0726 0.7585
8 Sb 0.1665 0.8335 0.0000

Properties
**Total magnetic moment**: 0.0 Bohr magnetons per cell
**Uncorrected energy**: -24.94 eV/f.u.

---

5.
This record from OQMD via LeMat-Bulk describes a geometry-optimized SmHoSbI2 structure. The functional is GGA-PBE.

Unit cell a=4.3619 b=4.3619 c=11.2807 alpha=90.00 beta=90.00 gamma=120.00
Element x y z (fractional)
1 Ho 0.6667 0.3333 0.1516
2 I 0.3333 0.6667 0.3216
3 I 0.6667 0.3333 0.6716
4 Sb 0.0000 0.0000 0.0060
5 Sm 0.3333 0.6667 0.8492

Properties
**Total magnetic moment**: 0.0 Bohr magnetons per cell
**Uncorrected energy**: -22.90 eV/f.u.

---

6.
This record from OQMD via LeMat-Bulk describes a geometry-optimized HoSnSbI2 structure. The functional is GGA-PBE.

Unit cell a=4.3967 b=4.3967 c=11.4732 alpha=90.00 beta=90.00 gamma=120.00
Element x y z (fractional)
1 Ho 0.0000 0.0000 0.1549
2 I 0.6667 0.3333 0.3210
3 I 0.0000 0.0000 0.6717
4 Sb 0.3333 0.6667 0.0082
5 Sn 0.6667 0.3333 0.8443

Properties
**Total magnetic moment**: 0.0 Bohr magnetons per cell
**Uncorrected energy**: -19.60 eV/f.u.